Entry from OQMD via LeMat-Bulk: a geometry-optimized LiZrAsOs structure (PBE-GGA).

Summary:
Space-group type ... F-43m (216)
Total energy ... -0.4972 Ry/atom
M_tot ... 0.00 μB per formula unit

a = 4.5134 Å, b = 4.5134 Å, c = 4.5134 Å
α = 60.00°, β = 60.00°, γ = 60.00°
With the nearest neighbours (Å) after each atom.
Atoms (fractional coordinates):
1 Zr 0.2500 0.2500 0.2500  4 As 2.76, 4 Os 2.76
2 As 0.0000 0.0000 0.0000  4 Zr 2.76, 4 Li 2.76
3 Li 0.7500 0.7500 0.7500  4 Os 2.76, 4 As 2.76
4 Os 0.5000 0.5000 0.5000  4 Li 2.76, 4 Zr 2.76